--- A ---
# BiAs2Pb2 PBE optimized geometry
# Fermi-level density of states in states/eV/atom: 0.40
# Theoretical density in Mg/m³: 9.18
data_BiAs2Pb2
_chemical_formula_sum 'Bi2 As4 Pb4'
_cell_length_a 8.2297
_cell_length_b 8.2297
_cell_length_c 4.1315
_cell_angle_alpha 90.00
_cell_angle_beta 90.00
_cell_angle_gamma 90.00
_symmetry_space_group_name_H-M 'P 1'
_symmetry_Int_Tables_number 1
_symmetry_space_group_name_Hall 'P 1'
loop_
_atom_site_label
_atom_site_type_symbol
_atom_site_fract_x
_atom_site_fract_y
_atom_site_fract_z
_atom_site_occupancy
Bi1 Bi 0.0000 0.0000 0.0000 1
Bi2 Bi 0.5000 0.5000 0.0000 1
As1 As 0.1659 0.3341 0.0000 1
As2 As 0.3341 0.8341 0.0000 1
As3 As 0.6659 0.1659 0.0000 1
As4 As 0.8341 0.6659 0.0000 1
Pb1 Pb 0.1475 0.6475 0.5000 1
Pb2 Pb 0.3525 0.1475 0.5000 1
Pb3 Pb 0.6475 0.8525 0.5000 1
Pb4 Pb 0.8525 0.3525 0.5000 1

--- B ---
# BiAs2Pb2 PBE optimized geometry
# Fermi-level density of states in states/eV/atom: 0.58
# Theoretical density in Mg/m³: 8.99
data_BiAs2Pb2
_chemical_formula_sum 'Bi2 As4 Pb4'
_cell_length_a 3.8920
_cell_length_b 3.8920
_cell_length_c 18.8574
_cell_angle_alpha 90.00
_cell_angle_beta 90.00
_cell_angle_gamma 90.00
_symmetry_space_group_name_H-M 'P 1'
_symmetry_Int_Tables_number 1
_symmetry_space_group_name_Hall 'P 1'
loop_
_atom_site_label
_atom_site_type_symbol
_atom_site_fract_x
_atom_site_fract_y
_atom_site_fract_z
_atom_site_occupancy
Bi1 Bi 0.0000 0.0000 0.0000 1
Bi2 Bi 0.5000 0.5000 0.5000 1
As1 As 0.0000 0.5000 0.2500 1
As2 As 0.0000 0.5000 0.7500 1
As3 As 0.5000 0.0000 0.2500 1
As4 As 0.5000 0.0000 0.7500 1
Pb1 Pb 0.0000 0.0000 0.3871 1
Pb2 Pb 0.0000 0.0000 0.6129 1
Pb3 Pb 0.5000 0.5000 0.1129 1
Pb4 Pb 0.5000 0.5000 0.8871 1

Bottom line: A, by a margin of 0.015 eV/atom.

--- A ---
# BiAsPd3 PBE optimized geometry
# Fermi-level density of states in states/eV/atom: 2.51
# Theoretical density in Mg/m³: 9.53
data_BiAsPd3
_chemical_formula_sum 'Bi1 As1 Pd3'
_cell_length_a 4.7189
_cell_length_b 4.7189
_cell_length_c 4.7189
_cell_angle_alpha 90.00
_cell_angle_beta 90.00
_cell_angle_gamma 90.00
_symmetry_space_group_name_H-M 'P 1'
_symmetry_Int_Tables_number 1
_symmetry_space_group_name_Hall 'P 1'
loop_
_atom_site_label
_atom_site_type_symbol
_atom_site_fract_x
_atom_site_fract_y
_atom_site_fract_z
_atom_site_occupancy
Bi1 Bi 0.0000 0.0000 0.0000 1
As1 As 0.5000 0.5000 0.5000 1
Pd1 Pd 0.0000 0.5000 0.5000 1
Pd2 Pd 0.5000 0.0000 0.5000 1
Pd3 Pd 0.5000 0.5000 0.0000 1

--- B ---
# BiAsPd3 PBE optimized geometry
# Fermi-level density of states in states/eV/atom: 0.46
# Theoretical density in Mg/m³: 10.45
data_BiAsPd3
_chemical_formula_sum 'Bi2 As2 Pd6'
_cell_length_a 8.1071
_cell_length_b 8.1071
_cell_length_c 8.1071
_cell_angle_alpha 153.33
_cell_angle_beta 126.16
_cell_angle_gamma 61.07
_symmetry_space_group_name_H-M 'P 1'
_symmetry_Int_Tables_number 1
_symmetry_space_group_name_Hall 'P 1'
loop_
_atom_site_label
_atom_site_type_symbol
_atom_site_fract_x
_atom_site_fract_y
_atom_site_fract_z
_atom_site_occupancy
Bi1 Bi 0.2200 0.0000 0.2200 1
Bi2 Bi 0.7800 0.0000 0.7800 1
As1 As 0.2363 0.2363 0.0000 1
As2 As 0.7637 0.7637 0.0000 1
Pd1 Pd 0.0339 0.3333 0.7006 1
Pd2 Pd 0.3650 0.8650 0.5000 1
Pd3 Pd 0.3673 0.6667 0.7006 1
Pd4 Pd 0.6327 0.3333 0.2994 1
Pd5 Pd 0.6350 0.1350 0.5000 1
Pd6 Pd 0.9661 0.6667 0.2994 1

Bottom line: B, by a margin of 0.231 eV/atom.

--- A ---
# BiAs2Pd2 PBE optimized geometry
# Fermi-level density of states in states/eV/atom: 0.61
# Theoretical density in Mg/m³: 9.41
data_BiAs2Pd2
_chemical_formula_sum 'Bi2 As4 Pd4'
_cell_length_a 4.4141
_cell_length_b 4.4141
_cell_length_c 10.3602
_cell_angle_alpha 90.00
_cell_angle_beta 90.00
_cell_angle_gamma 90.00
_symmetry_space_group_name_H-M 'P 1'
_symmetry_Int_Tables_number 1
_symmetry_space_group_name_Hall 'P 1'
loop_
_atom_site_label
_atom_site_type_symbol
_atom_site_fract_x
_atom_site_fract_y
_atom_site_fract_z
_atom_site_occupancy
Bi1 Bi 0.0000 0.0000 0.0000 1
Bi2 Bi 0.5000 0.5000 0.5000 1
As1 As 0.0000 0.0000 0.3778 1
As2 As 0.0000 0.0000 0.6222 1
As3 As 0.5000 0.5000 0.1222 1
As4 As 0.5000 0.5000 0.8778 1
Pd1 Pd 0.0000 0.5000 0.2500 1
Pd2 Pd 0.0000 0.5000 0.7500 1
Pd3 Pd 0.5000 0.0000 0.2500 1
Pd4 Pd 0.5000 0.0000 0.7500 1

--- B ---
# BiAs2Pd2 PBE optimized geometry
# Fermi-level density of states in states/eV/atom: 0.54
# Theoretical density in Mg/m³: 9.77
data_BiAs2Pd2
_chemical_formula_sum 'Bi2 As4 Pd4'
_cell_length_a 7.8076
_cell_length_b 7.8076
_cell_length_c 3.1887
_cell_angle_alpha 90.00
_cell_angle_beta 90.00
_cell_angle_gamma 90.00
_symmetry_space_group_name_H-M 'P 1'
_symmetry_Int_Tables_number 1
_symmetry_space_group_name_Hall 'P 1'
loop_
_atom_site_label
_atom_site_type_symbol
_atom_site_fract_x
_atom_site_fract_y
_atom_site_fract_z
_atom_site_occupancy
Bi1 Bi 0.0000 0.0000 0.0000 1
Bi2 Bi 0.5000 0.5000 0.0000 1
As1 As 0.1466 0.3534 0.5000 1
As2 As 0.3534 0.8534 0.5000 1
As3 As 0.6466 0.1466 0.5000 1
As4 As 0.8534 0.6466 0.5000 1
Pd1 Pd 0.1333 0.6333 0.0000 1
Pd2 Pd 0.3667 0.1333 0.0000 1
Pd3 Pd 0.6333 0.8667 0.0000 1
Pd4 Pd 0.8667 0.3667 0.0000 1

--- C ---
# BiAs2Pd2 PBE optimized geometry
# Fermi-level density of states in states/eV/atom: 0.51
# Theoretical density in Mg/m³: 9.44
data_BiAs2Pd2
_chemical_formula_sum 'Bi2 As4 Pd4'
_cell_length_a 4.0509
_cell_length_b 4.0509
_cell_length_c 12.2620
_cell_angle_alpha 90.00
_cell_angle_beta 90.00
_cell_angle_gamma 90.00
_symmetry_space_group_name_H-M 'P 1'
_symmetry_Int_Tables_number 1
_symmetry_space_group_name_Hall 'P 1'
loop_
_atom_site_label
_atom_site_type_symbol
_atom_site_fract_x
_atom_site_fract_y
_atom_site_fract_z
_atom_site_occupancy
Bi1 Bi 0.0000 0.0000 0.0000 1
Bi2 Bi 0.5000 0.5000 0.5000 1
As1 As 0.0000 0.5000 0.2500 1
As2 As 0.0000 0.5000 0.7500 1
As3 As 0.5000 0.0000 0.2500 1
As4 As 0.5000 0.0000 0.7500 1
Pd1 Pd 0.0000 0.0000 0.3871 1
Pd2 Pd 0.0000 0.0000 0.6129 1
Pd3 Pd 0.5000 0.5000 0.1129 1
Pd4 Pd 0.5000 0.5000 0.8871 1

Bottom line: C, by a margin of 0.008 eV/atom.

--- A ---
# BiAsPd4 PBE optimized geometry
# Fermi-level density of states in states/eV/atom: 0.53
# Theoretical density in Mg/m³: 10.94
data_BiAsPd4
_chemical_formula_sum 'Bi2 As2 Pd8'
_cell_length_a 4.7281
_cell_length_b 5.6183
_cell_length_c 8.7984
_cell_angle_alpha 108.46
_cell_angle_beta 102.87
_cell_angle_gamma 90.11
_symmetry_space_group_name_H-M 'P 1'
_symmetry_Int_Tables_number 1
_symmetry_space_group_name_Hall 'P 1'
loop_
_atom_site_label
_atom_site_type_symbol
_atom_site_fract_x
_atom_site_fract_y
_atom_site_fract_z
_atom_site_occupancy
Bi1 Bi 0.2504 0.2282 0.0003 1
Bi2 Bi 0.7496 0.7718 0.9997 1
As1 As 0.0000 0.5000 0.5000 1
As2 As 0.5000 0.0000 0.5000 1
Pd1 Pd 0.1032 0.9698 0.6545 1
Pd2 Pd 0.1648 0.5495 0.8017 1
Pd3 Pd 0.3348 0.7482 0.1987 1
Pd4 Pd 0.3971 0.3160 0.3459 1
Pd5 Pd 0.6029 0.6840 0.6541 1
Pd6 Pd 0.6652 0.2518 0.8013 1
Pd7 Pd 0.8352 0.4505 0.1983 1
Pd8 Pd 0.8968 0.0302 0.3455 1

--- B ---
# BiAsPd4 PBE optimized geometry
# Fermi-level density of states in states/eV/atom: 0.52
# Theoretical density in Mg/m³: 11.03
data_BiAsPd4
_chemical_formula_sum 'Bi2 As2 Pd8'
_cell_length_a 4.7199
_cell_length_b 5.8281
_cell_length_c 7.8372
_cell_angle_alpha 90.00
_cell_angle_beta 97.58
_cell_angle_gamma 90.00
_symmetry_space_group_name_H-M 'P 1'
_symmetry_Int_Tables_number 1
_symmetry_space_group_name_Hall 'P 1'
loop_
_atom_site_label
_atom_site_type_symbol
_atom_site_fract_x
_atom_site_fract_y
_atom_site_fract_z
_atom_site_occupancy
Bi1 Bi 0.2411 0.2500 0.4322 1
Bi2 Bi 0.7589 0.7500 0.5678 1
As1 As 0.3484 0.7500 0.0484 1
As2 As 0.6516 0.2500 0.9516 1
Pd1 Pd 0.1580 0.2500 0.0662 1
Pd2 Pd 0.2088 0.7500 0.3457 1
Pd3 Pd 0.3099 0.5095 0.7659 1
Pd4 Pd 0.3099 0.9905 0.7659 1
Pd5 Pd 0.6901 0.0095 0.2341 1
Pd6 Pd 0.6901 0.4905 0.2341 1
Pd7 Pd 0.7912 0.2500 0.6543 1
Pd8 Pd 0.8420 0.7500 0.9338 1

Bottom line: A, by a margin of 0.012 eV/atom.

--- A ---
# Pu2BiAs PBE optimized geometry
# Fermi-level density of states in states/eV/atom: 3.55
# Theoretical density in Mg/m³: 12.54
data_Pu2BiAs
_chemical_formula_sum 'Pu2 Bi1 As1'
_cell_length_a 3.5694
_cell_length_b 3.5694
_cell_length_c 8.0251
_cell_angle_alpha 90.00
_cell_angle_beta 90.00
_cell_angle_gamma 90.00
_symmetry_space_group_name_H-M 'P 1'
_symmetry_Int_Tables_number 1
_symmetry_space_group_name_Hall 'P 1'
loop_
_atom_site_label
_atom_site_type_symbol
_atom_site_fract_x
_atom_site_fract_y
_atom_site_fract_z
_atom_site_occupancy
Pu1 Pu 0.0000 0.0000 0.2067 1
Pu2 Pu 0.0000 0.0000 0.7933 1
Bi1 Bi 0.5000 0.5000 0.5000 1
As1 As 0.5000 0.5000 0.0000 1

--- B ---
# Pu2BiAs PBE optimized geometry
# Fermi-level density of states in states/eV/atom: 3.66
# Theoretical density in Mg/m³: 12.56
data_Pu2BiAs
_chemical_formula_sum 'Pu2 Bi1 As1'
_cell_length_a 4.9835
_cell_length_b 4.9835
_cell_length_c 4.1107
_cell_angle_alpha 90.00
_cell_angle_beta 90.00
_cell_angle_gamma 90.00
_symmetry_space_group_name_H-M 'P 1'
_symmetry_Int_Tables_number 1
_symmetry_space_group_name_Hall 'P 1'
loop_
_atom_site_label
_atom_site_type_symbol
_atom_site_fract_x
_atom_site_fract_y
_atom_site_fract_z
_atom_site_occupancy
Pu1 Pu 0.0000 0.5000 0.0000 1
Pu2 Pu 0.5000 0.0000 0.0000 1
Bi1 Bi 0.0000 0.0000 0.5000 1
As1 As 0.5000 0.5000 0.5000 1

Bottom line: A, by a margin of 0.163 eV/atom.

--- A ---
# Pu2BiAs PBE optimized geometry
# Fermi-level density of states in states/eV/atom: 3.91
# Theoretical density in Mg/m³: 11.67
data_Pu2BiAs
_chemical_formula_sum 'Pu8 Bi4 As4'
_cell_length_a 4.1534
_cell_length_b 15.6616
_cell_length_c 6.7512
_cell_angle_alpha 90.00
_cell_angle_beta 90.00
_cell_angle_gamma 90.00
_symmetry_space_group_name_H-M 'P 1'
_symmetry_Int_Tables_number 1
_symmetry_space_group_name_Hall 'P 1'
loop_
_atom_site_label
_atom_site_type_symbol
_atom_site_fract_x
_atom_site_fract_y
_atom_site_fract_z
_atom_site_occupancy
Pu1 Pu 0.0000 0.1335 0.0179 1
Pu2 Pu 0.0000 0.1335 0.4821 1
Pu3 Pu 0.0000 0.8665 0.5179 1
Pu4 Pu 0.0000 0.8665 0.9821 1
Pu5 Pu 0.5000 0.3665 0.5179 1
Pu6 Pu 0.5000 0.3665 0.9821 1
Pu7 Pu 0.5000 0.6335 0.0179 1
Pu8 Pu 0.5000 0.6335 0.4821 1
Bi1 Bi 0.0000 0.4890 0.2500 1
Bi2 Bi 0.0000 0.5110 0.7500 1
Bi3 Bi 0.5000 0.0110 0.7500 1
Bi4 Bi 0.5000 0.9890 0.2500 1
As1 As 0.0000 0.2752 0.7500 1
As2 As 0.0000 0.7248 0.2500 1
As3 As 0.5000 0.2248 0.2500 1
As4 As 0.5000 0.7752 0.7500 1

--- B ---
# Pu2BiAs PBE optimized geometry
# Fermi-level density of states in states/eV/atom: 5.75
# Theoretical density in Mg/m³: 11.07
data_Pu2BiAs
_chemical_formula_sum 'Pu6 Bi3 As3'
_cell_length_a 4.1263
_cell_length_b 4.1263
_cell_length_c 23.5480
_cell_angle_alpha 90.00
_cell_angle_beta 90.00
_cell_angle_gamma 120.00
_symmetry_space_group_name_H-M 'P 1'
_symmetry_Int_Tables_number 1
_symmetry_space_group_name_Hall 'P 1'
loop_
_atom_site_label
_atom_site_type_symbol
_atom_site_fract_x
_atom_site_fract_y
_atom_site_fract_z
_atom_site_occupancy
Pu1 Pu 0.0000 0.0000 0.0000 1
Pu2 Pu 0.0000 0.0000 0.1894 1
Pu3 Pu 0.3333 0.6667 0.6667 1
Pu4 Pu 0.3333 0.6667 0.8560 1
Pu5 Pu 0.6667 0.3333 0.3333 1
Pu6 Pu 0.6667 0.3333 0.5227 1
Bi1 Bi 0.0000 0.0000 0.7624 1
Bi2 Bi 0.3333 0.6667 0.4290 1
Bi3 Bi 0.6667 0.3333 0.0957 1
As1 As 0.0000 0.0000 0.5929 1
As2 As 0.3333 0.6667 0.2595 1
As3 As 0.6667 0.3333 0.9262 1

Bottom line: A, by a margin of 0.052 eV/atom.